Entry w
First-principles (PBE-GGA) data for a relaxed structure of TbThGa, as listed in the Alexandria database.

Structure (CIF):
```
data_TbThGa
_chemical_formula_sum 'Tb1 Th1 Ga1'
_symmetry_space_group_name_H-M 'P 1'
_symmetry_Int_Tables_number 1
_cell_length_a 3.7574
_cell_length_b 5.0118
_cell_length_c 5.0118
_cell_angle_alpha 120.00
_cell_angle_beta 90.00
_cell_angle_gamma 90.00
loop_
_symmetry_equiv_pos_as_xyz
'x,y,z'
loop_
_atom_site_label
_atom_site_fract_x
_atom_site_fract_y
_atom_site_fract_z
Ga1 0.0531 0.0000 0.0000
Th1 0.7029 0.3333 0.6667
Tb1 0.2440 0.6667 0.3333
```

Computed properties:
- symmetry = No. 156
- D(E_F) (states/eV per cell) = 3.46

***

Entry x
First-principles (PBE-GGA) data for a relaxed structure of TbThGa, as listed in the Alexandria database.

Structure (CIF):
```
data_TbThGa
_chemical_formula_sum 'Tb1 Th1 Ga1'
_symmetry_space_group_name_H-M 'P 1'
_symmetry_Int_Tables_number 1
_cell_length_a 3.5758
_cell_length_b 3.5758
_cell_length_c 6.8972
_cell_angle_alpha 105.02
_cell_angle_beta 105.02
_cell_angle_gamma 90.00
loop_
_symmetry_equiv_pos_as_xyz
'x,y,z'
loop_
_atom_site_label
_atom_site_fract_x
_atom_site_fract_y
_atom_site_fract_z
Tb1 0.0217 0.0217 0.0435
Ga1 0.6623 0.6623 0.3246
Th1 0.3160 0.3160 0.6320
```

Computed properties:
- symmetry = No. 107
- D(E_F) (states/eV per cell) = 3.38

***

Stability check: which of them is least stable? entry w.

***

Entry w
First-principles (PBE-GGA) data for a relaxed structure of TbTiGa4, as listed in the Alexandria database.

Structure (CIF):
```
data_TbTiGa4
_chemical_formula_sum 'Tb2 Ti2 Ga8'
_symmetry_space_group_name_H-M 'P 1'
_symmetry_Int_Tables_number 1
_cell_length_a 4.0901
_cell_length_b 6.2575
_cell_length_c 9.0359
_cell_angle_alpha 90.00
_cell_angle_beta 103.08
_cell_angle_gamma 90.00
loop_
_symmetry_equiv_pos_as_xyz
'x,y,z'
loop_
_atom_site_label
_atom_site_fract_x
_atom_site_fract_y
_atom_site_fract_z
Ga1 0.9229 0.2500 0.8458
Ga2 0.6623 0.5412 0.3246
Ga3 0.3377 0.4588 0.6754
Ga4 0.5000 0.0000 0.0000
Ga5 0.5000 0.5000 0.0000
Ga6 0.0771 0.7500 0.1542
Ga7 0.6623 0.9588 0.3246
Ga8 0.3377 0.0412 0.6754
Tb1 0.9038 0.7500 0.8077
Tb2 0.0962 0.2500 0.1923
Ti1 0.2310 0.7500 0.4620
Ti2 0.7690 0.2500 0.5380
```

Computed properties:
- symmetry = No. 63
- D(E_F) (states/eV per cell) = 5.19

***

Entry x
First-principles (PBE-GGA) data for a relaxed structure of TbTiGa4, as listed in the Alexandria database.

Structure (CIF):
```
data_TbTiGa4
_chemical_formula_sum 'Tb1 Ti1 Ga4'
_symmetry_space_group_name_H-M 'P 1'
_symmetry_Int_Tables_number 1
_cell_length_a 5.3330
_cell_length_b 5.3330
_cell_length_c 5.3330
_cell_angle_alpha 60.00
_cell_angle_beta 60.00
_cell_angle_gamma 60.00
loop_
_symmetry_equiv_pos_as_xyz
'x,y,z'
loop_
_atom_site_label
_atom_site_fract_x
_atom_site_fract_y
_atom_site_fract_z
Tb1 0.2500 0.2500 0.2500
Ga1 0.6255 0.1236 0.6255
Ga2 0.6255 0.6255 0.6255
Ga3 0.6255 0.6255 0.1236
Ga4 0.1236 0.6255 0.6255
Ti1 0.0000 0.0000 0.0000
```

Computed properties:
- symmetry = No. 216
- D(E_F) (states/eV per cell) = 3.15

***

Stability check: which of them is least stable? entry x.

***

Entry w
First-principles (PBE-GGA) data for a relaxed structure of TbTiGa2, as listed in the Alexandria database.

Structure (CIF):
```
data_TbTiGa2
_chemical_formula_sum 'Tb1 Ti1 Ga2'
_symmetry_space_group_name_H-M 'P 1'
_symmetry_Int_Tables_number 1
_cell_length_a 3.2619
_cell_length_b 4.9117
_cell_length_c 4.9117
_cell_angle_alpha 90.00
_cell_angle_beta 90.00
_cell_angle_gamma 90.00
loop_
_symmetry_equiv_pos_as_xyz
'x,y,z'
loop_
_atom_site_label
_atom_site_fract_x
_atom_site_fract_y
_atom_site_fract_z
Tb1 0.5000 0.0000 0.0000
Ti1 0.5000 0.5000 0.5000
Ga1 0.0000 0.5000 0.0000
Ga2 0.0000 0.0000 0.5000
```

Computed properties:
- symmetry = No. 123
- D(E_F) (states/eV per cell) = 2.94

***

Entry x
First-principles (PBE-GGA) data for a relaxed structure of TbTiGa2, as listed in the Alexandria database.

Structure (CIF):
```
data_TbTiGa2
_chemical_formula_sum 'Tb1 Ti1 Ga2'
_symmetry_space_group_name_H-M 'P 1'
_symmetry_Int_Tables_number 1
_cell_length_a 3.4607
_cell_length_b 3.4607
_cell_length_c 8.3545
_cell_angle_alpha 78.05
_cell_angle_beta 78.05
_cell_angle_gamma 60.00
loop_
_symmetry_equiv_pos_as_xyz
'x,y,z'
loop_
_atom_site_label
_atom_site_fract_x
_atom_site_fract_y
_atom_site_fract_z
Ga1 0.2591 0.2591 0.2228
Ga2 0.7409 0.7409 0.7772
Tb1 0.5000 0.5000 0.5000
Ti1 0.0000 0.0000 0.0000
```

Computed properties:
- symmetry = No. 166
- D(E_F) (states/eV per cell) = 3.01

***

Entry y
First-principles (PBE-GGA) data for a relaxed structure of TbTiGa2, as listed in the Alexandria database.

Structure (CIF):
```
data_TbTiGa2
_chemical_formula_sum 'Tb1 Ti1 Ga2'
_symmetry_space_group_name_H-M 'P 1'
_symmetry_Int_Tables_number 1
_cell_length_a 3.4615
_cell_length_b 3.4615
_cell_length_c 6.4816
_cell_angle_alpha 90.00
_cell_angle_beta 90.00
_cell_angle_gamma 90.00
loop_
_symmetry_equiv_pos_as_xyz
'x,y,z'
loop_
_atom_site_label
_atom_site_fract_x
_atom_site_fract_y
_atom_site_fract_z
Ga1 0.0000 0.0000 0.2077
Ga2 0.0000 0.0000 0.7923
Tb1 0.5000 0.5000 0.5000
Ti1 0.5000 0.5000 0.0000
```

Computed properties:
- symmetry = No. 123
- D(E_F) (states/eV per cell) = 1.92

***

Entry z
First-principles (PBE-GGA) data for a relaxed structure of TbTiGa2, as listed in the Alexandria database.

Structure (CIF):
```
data_TbTiGa2
_chemical_formula_sum 'Tb1 Ti1 Ga2'
_symmetry_space_group_name_H-M 'P 1'
_symmetry_Int_Tables_number 1
_cell_length_a 4.7996
_cell_length_b 4.7996
_cell_length_c 4.7996
_cell_angle_alpha 60.00
_cell_angle_beta 60.00
_cell_angle_gamma 60.00
loop_
_symmetry_equiv_pos_as_xyz
'x,y,z'
loop_
_atom_site_label
_atom_site_fract_x
_atom_site_fract_y
_atom_site_fract_z
Ga1 0.7500 0.7500 0.7500
Ga2 0.2500 0.2500 0.2500
Ti1 0.5000 0.5000 0.5000
Tb1 0.0000 0.0000 0.0000
```

Computed properties:
- symmetry = No. 225
- D(E_F) (states/eV per cell) = 4.15

***

Stability check: which of them is least stable? entry x.